Entry 1:
First-principles (PBE) data for a relaxed SmHoZn4 crystal, as listed in OQMD.

Unit cell a=5.6681 b=5.6681 c=5.6681 alpha=133.27 beta=101.74 gamma=96.38
With the nearest neighbours (Å) after each atom.
Positions (direct):
Ho (0.5277, 0.5277, 0.0000)  12 Zn 3.05-3.25
Sm (0.9673, 0.4673, 0.5000)  12 Zn 3.08-3.24
Zn (0.3735, 0.1671, 0.2065)  3 Zn 2.58-2.59
Zn (0.1307, 0.8354, 0.2952)  3 Zn 2.58-2.59
Zn (0.5402, 0.8354, 0.7048)  3 Zn 2.58-2.59
Zn (0.9606, 0.1671, 0.7935)  3 Zn 2.58-2.59

Formation energy   -0.3835 eV/atom
Relative energy among the computed polymorphs   0.00 eV/f.u.
Space-group type   Imm2



Entry 2:
First-principles (PBE) data for a relaxed HoSn crystal, as listed in OQMD.

Unit cell a=4.9045 b=4.9045 c=4.9045 alpha=60.00 beta=60.00 gamma=60.00
With the nearest neighbours (Å) after each atom.
Positions (direct):
Ho (0.0000, 0.0000, 0.0000)  4 Sn 3.00
Sn (0.2500, 0.2500, 0.2500)  4 Ho 3.00

Space-group type   F-43m



Entry 3:
First-principles (PBE) data for a relaxed Ho2Sn crystal, as listed in OQMD.

Unit cell a=6.2260 b=6.2260 c=6.2260 alpha=60.00 beta=60.00 gamma=60.00
With the nearest neighbours (Å) after each atom.
Positions (direct):
Ho (0.6250, 0.6250, 0.1250)  6 Ho 3.11
Ho (0.6250, 0.1250, 0.6250)  6 Ho 3.11
Ho (0.1250, 0.6250, 0.6250)  6 Ho 3.11
Ho (0.6250, 0.6250, 0.6250)  6 Ho 3.11
Sn (0.0000, 0.0000, 0.0000)  12 Ho 3.65, 4 Sn 3.81
Sn (0.2500, 0.2500, 0.2500)  12 Ho 3.65, 4 Sn 3.81

Space-group type   Fd-3m



Entry 4:
First-principles (PBE) data for a relaxed HoSn crystal, as listed in OQMD.

Unit cell a=3.5393 b=3.5393 c=4.9785 alpha=90.00 beta=90.00 gamma=120.00
With the nearest neighbours (Å) after each atom.
Positions (direct):
Ho (0.6667, 0.3333, 0.7500)  6 Sn 3.22, 6 Ho 3.54
Sn (0.3333, 0.6667, 0.2500)  6 Ho 3.22, 6 Sn 3.54

Space-group type   P-6m2



Entry 5:
First-principles (PBE) data for a relaxed Ho2Sn5 crystal, as listed in OQMD.

Unit cell a=4.3547 b=4.4267 c=19.0333 alpha=90.00 beta=90.00 gamma=90.00
With the nearest neighbours (Å) after each atom.
Positions (direct):
Ho (0.5000, 0.0000, 0.1300)  10 Sn 3.15-3.43
Ho (0.0000, 0.0000, 0.3000)  10 Sn 3.17-3.49
Ho (0.5000, 0.5000, 0.7000)  10 Sn 3.17-3.49
Ho (0.0000, 0.5000, 0.8700)  10 Sn 3.15-3.43
Sn (0.5000, 0.5000, 0.0016)  4 Sn 3.11, 4 Ho 3.30-3.32
Sn (0.0000, 0.5000, 0.1581)  2 Sn 3.01, 4 Ho 3.15
Sn (0.5000, 0.5000, 0.2673)  2 Sn 3.01, 4 Ho 3.17
Sn (0.0000, 0.5000, 0.4230)  5 Sn 2.91-3.10, 2 Ho 3.22
Sn (0.5000, 0.0000, 0.4239)  5 Sn 2.91-3.10, 2 Ho 3.21
Sn (0.0000, 0.5000, 0.5761)  5 Sn 2.91-3.10, 2 Ho 3.21
Sn (0.5000, 0.0000, 0.5770)  5 Sn 2.91-3.10, 2 Ho 3.22
Sn (0.0000, 0.0000, 0.7327)  2 Sn 3.01, 4 Ho 3.17
Sn (0.5000, 0.0000, 0.8419)  2 Sn 3.01, 4 Ho 3.15
Sn (0.0000, 0.0000, 0.9984)  4 Sn 3.11, 4 Ho 3.30-3.32

Space-group type   Pmmn



Entry 6:
First-principles (PBE) data for a relaxed SrHoSn crystal, as listed in OQMD.

Unit cell a=5.3407 b=5.3407 c=5.3407 alpha=60.00 beta=60.00 gamma=60.00
With the nearest neighbours (Å) after each atom.
Positions (direct):
Ho (0.0000, 0.0000, 0.0000)  4 Sr 3.27, 4 Sn 3.27
Sn (0.2500, 0.2500, 0.2500)  4 Ho 3.27
Sr (0.7500, 0.7500, 0.7500)  4 Ho 3.27

Space-group type   F-43m



Entry 7:
First-principles (PBE) data for a relaxed TbHoTa2Sn2 crystal, as listed in OQMD.

Unit cell a=4.1898 b=4.1898 c=8.1229 alpha=90.00 beta=90.00 gamma=90.00
With the nearest neighbours (Å) after each atom.
Positions (direct):
Ho (0.0000, 0.0000, 0.6529)  5 Sn 3.06-3.24
Sn (0.0000, 0.0000, 0.2540)  4 Ta 2.94, 4 Tb 3.06, 1 Ho 3.24
Sn (0.5000, 0.5000, 0.7450)  4 Ta 2.94, 4 Ho 3.06, 1 Tb 3.21
Ta (0.5000, 0.0000, 0.9994)  4 Sn 2.94, 4 Ta 2.96
Ta (0.0000, 0.5000, 0.9994)  4 Sn 2.94, 4 Ta 2.96
Tb (0.5000, 0.5000, 0.3493)  5 Sn 3.06-3.21

Space-group type   P4mm



Entry 8:
First-principles (PBE) data for a relaxed YHoTa2Sn2 crystal, as listed in OQMD.

Unit cell a=4.1853 b=4.1853 c=8.1079 alpha=90.00 beta=90.00 gamma=90.00
With the nearest neighbours (Å) after each atom.
Positions (direct):
Ho (0.0000, 0.0000, 0.6528)  5 Sn 3.05-3.24
Sn (0.0000, 0.0000, 0.2534)  4 Ta 2.94, 4 Y 3.06, 1 Ho 3.24
Sn (0.5000, 0.5000, 0.7457)  4 Ta 2.93, 4 Ho 3.05, 1 Y 3.21
Ta (0.5000, 0.0000, 0.9994)  4 Sn 2.93-2.94, 4 Ta 2.96
Ta (0.0000, 0.5000, 0.9994)  4 Sn 2.93-2.94, 4 Ta 2.96
Y (0.5000, 0.5000, 0.3493)  5 Sn 3.06-3.21

Space-group type   P4mm



Number 1: E -16.6 eV per formula unit. Number 2: E -8.0 eV per formula unit. Number 3: E -13.1 eV per formula unit. Number 4: E -9.5 eV per formula unit. Number 5: E -32.7 eV per formula unit. Number 6: E -10.1 eV per formula unit. Number 7: E -43.1 eV per formula unit. Number 8: E -45.0 eV per formula unit.